The following is a PBE-GGA calculation of a relaxed SbAs2Pb crystal, from Alexandria.

Cell lengths 7.2271, 7.2271, 9.7945 Å; angles 90.00, 90.00, 90.00 degrees
Last column: nearest neighbours and their distance in Å.
Space group I-42d (No. 122)
Unique sites:
Sb 0.0000 0.0000 0.0000  4 As 2.73
As 0.2281 0.7500 0.1250  2 Sb 2.73, 2 Pb 2.94
Pb 0.0000 0.0000 0.5000  4 As 2.94

Values from the calculation:
The calculation puts the formation energy from raw total energies at 0.210 eV/atom. The value obtained for the magnetization is 0.0 μB/cell.

---

The following is a PBE-GGA calculation of a relaxed ReAgAu2 crystal, from Alexandria.

Cell lengths 6.2715, 7.9466, 2.7395 Å; angles 90.00, 90.00, 90.00 degrees
Last column: nearest neighbours and their distance in Å.
Space group Cmmm (No. 65)
Unique sites:
Re 0.0000 0.0000 0.0000  2 Re 2.74, 8 Au 2.88
Ag 0.0000 0.5000 0.0000  2 Ag 2.74, 8 Au 2.88
Au 0.2500 0.2500 0.5000  2 Au 2.74, 4 Re 2.88, 4 Ag 2.88

Values from the calculation:
The value obtained for the magnetization is 1.5 μB/cell. The value obtained for the formation energy is 0.42 eV per atom.

---

The following is a PBE-GGA calculation of a relaxed Tl3Cd crystal, from Alexandria.

Cell lengths 7.7981, 7.7981, 7.7981 Å; angles 90.00, 90.00, 90.00 degrees
Last column: nearest neighbours and their distance in Å.
Space group Fm-3m (No. 225)
Unique sites:
Tl 0.0000 0.0000 0.0000  8 Tl 3.38
Tl 0.2500 0.2500 0.2500  4 Cd 3.38, 4 Tl 3.38
Cd 0.0000 0.0000 0.5000  8 Tl 3.38

Values from the calculation:
The value obtained for the magnetization is 0.0 μB/cell. The value obtained for the formation energy is 0.07 eV per atom.

---

The following is a PBE-GGA calculation of a relaxed ZnSbIr2 crystal, from Alexandria.

Cell lengths 3.1292, 4.3595, 9.7079 Å; angles 90.00, 90.00, 90.00 degrees
Last column: nearest neighbours and their distance in Å.
Space group Imm2 (No. 44)
Unique sites:
Zn 0.0000 0.0000 0.0000  6 Ir 2.68-2.77
Sb 0.0000 0.5000 0.2312  6 Ir 2.68-2.70
Ir 0.0000 0.0000 0.5046  4 Zn 2.68, 2 Sb 2.70
Ir 0.0000 0.5000 0.7360  4 Sb 2.68, 2 Zn 2.77

Values from the calculation:
The calculation puts the formation energy from raw total energies at 0.165 eV/atom. The value obtained for the magnetization is 0.0 μB/cell.

---

The following is a PBE-GGA calculation of a relaxed Er5ZrRh6 crystal, from Alexandria.

Cell lengths 4.7163, 14.1987, 6.9251 Å; angles 90.00, 90.00, 90.00 degrees
Last column: nearest neighbours and their distance in Å.
Space group Cmmm (No. 65)
Unique sites:
Er 0.0000 0.0000 0.0000  8 Rh 2.90-2.98
Er 0.0000 0.3327 0.5000  8 Rh 2.89-2.96
Er 0.0000 0.3335 0.0000  8 Rh 2.94-3.01
Zr 0.0000 0.0000 0.5000  8 Rh 2.86-2.87
Rh 0.0000 0.1620 0.2545  1 Zr 2.86, 7 Er 2.90-3.01
Rh 0.0000 0.5000 0.2630  2 Zr 2.87, 6 Er 2.89-2.98

Values from the calculation:
The value obtained for the magnetization is 0.0 μB/cell. The value obtained for the formation energy is -0.91 eV per atom.

---

The following is a PBE-GGA calculation of a relaxed SrSIN2 crystal, from Alexandria.

Cell lengths 4.9014, 4.9014, 6.0049 Å; angles 90.00, 90.00, 90.00 degrees
Last column: nearest neighbours and their distance in Å.
Space group P4/mmm (No. 123)
Unique sites:
Sr 0.0000 0.0000 0.0000  4 N 2.45
S 0.0000 0.0000 0.5000  2 Sr 3.00
I 0.5000 0.5000 0.5000  4 S 3.47, 8 N 3.88
N 0.0000 0.5000 0.0000  2 Sr 2.45

Values from the calculation:
The calculation puts the formation energy from raw total energies at 1.361 eV/atom. The value obtained for the magnetization is 5.0 μB/cell.

---

The following is a PBE-GGA calculation of a relaxed CsCrTe2Au crystal, from Alexandria.

Cell lengths 6.7849, 15.2781, 6.7361 Å; angles 90.00, 90.00, 90.00 degrees
Last column: nearest neighbours and their distance in Å.
Space group Cmme (No. 67)
Unique sites:
Cs 0.0000 0.2500 0.2181  8 Te 3.89-4.09, 2 Au 4.09
Cr 0.2500 0.0000 0.5000  4 Te 2.74
Te 0.0000 0.1100 0.7002  1 Au 2.63, 2 Cr 2.74
Au 0.0000 0.0000 0.0000  2 Te 2.63

Values from the calculation:
The calculation puts the formation energy from raw total energies at -0.378 eV/atom. The value obtained for the magnetization is 16.0 μB/cell.

---

The following is a PBE-GGA calculation of a relaxed LaScSb2Pd crystal, from Alexandria.

Cell lengths 5.3948, 5.3948, 4.8466 Å; angles 90.00, 90.00, 90.00 degrees
Last column: nearest neighbours and their distance in Å.
Space group P4/mmm (No. 123)
Unique sites:
La 0.0000 0.0000 0.0000  8 Sb 3.63, 4 Sc 3.81
Sc 0.5000 0.5000 0.0000  2 Pd 2.42
Sb 0.0000 0.5000 0.5000  2 Pd 2.70
Pd 0.5000 0.5000 0.5000  2 Sc 2.42, 4 Sb 2.70

Values from the calculation:
The calculation puts the formation energy from raw total energies at -0.350 eV/atom. The value obtained for the magnetization is 0.7 μB/cell.

---

The following is a PBE-GGA calculation of a relaxed Pm7Sn3N2 crystal, from Alexandria.

Cell lengths 4.9198, 4.9198, 26.1865 Å; angles 90.00, 90.00, 90.00 degrees
Last column: nearest neighbours and their distance in Å.
Space group I4/mmm (No. 139)
Unique sites:
Pm 0.0000 0.0000 0.0000  2 N 2.59
Pm 0.0000 0.0000 0.1929  1 N 2.46
Pm 0.0000 0.5000 0.0932  2 N 2.46
Sn 0.0000 0.0000 0.3190  9 Pm 3.30-3.49
Sn 0.0000 0.0000 0.5000  12 Pm 3.47-3.48
N 0.0000 0.0000 0.0989  6 Pm 2.46-2.59

Values from the calculation:
The calculation puts the formation energy from raw total energies at -0.951 eV/atom. The value obtained for the magnetization is 0.0 μB/cell.

---

The following is a PBE-GGA calculation of a relaxed RbSc2Se2 crystal, from Alexandria.

Cell lengths 4.5316, 4.5316, 14.4936 Å; angles 90.00, 90.00, 90.00 degrees
Last column: nearest neighbours and their distance in Å.
Space group I4/mmm (No. 139)
Unique sites:
Rb 0.0000 0.0000 0.0000  8 Se 3.87, 8 Sc 4.27
Sc 0.0000 0.5000 0.2500  4 Se 2.69
Se 0.0000 0.0000 0.3503  4 Sc 2.69

Values from the calculation:
The calculation puts the formation energy from raw total energies at -1.146 eV/atom. The value obtained for the magnetization is 0.0 μB/cell.

---

The following is a PBE-GGA calculation of a relaxed HoAlBOs2 crystal, from Alexandria.

Cell lengths 4.1016, 10.7982, 7.3625 Å; angles 90.00, 90.00, 90.00 degrees
Last column: nearest neighbours and their distance in Å.
Space group Cmcm (No. 63)
Unique sites:
Ho 0.0000 0.0457 0.2500  4 B 2.80, 3 Al 3.03-3.13
Al 0.0000 0.2354 0.7500  6 Os 2.49-2.54
B 0.0000 0.5000 0.0000  2 Os 1.98
Os 0.0000 0.3215 0.0637  1 B 1.98

Values from the calculation:
The value obtained for the magnetization is 0.0 μB/cell. The value obtained for the formation energy is -0.39 eV per atom.

---

The following is a PBE-GGA calculation of a relaxed ZrSb2Os crystal, from Alexandria.

Cell lengths 4.3969, 4.3969, 8.4484 Å; angles 90.00, 90.00, 90.00 degrees
Last column: nearest neighbours and their distance in Å.
Space group I-4m2 (No. 119)
Unique sites:
Zr 0.0000 0.0000 0.0000  8 Sb 3.05-3.11, 4 Os 3.05
Sb 0.0000 0.0000 0.5000  4 Sb 3.05, 4 Os 3.05, 4 Zr 3.11
Sb 0.0000 0.5000 0.2500  4 Zr 3.05, 4 Sb 3.05, 4 Os 3.11
Os 0.0000 0.5000 0.7500  8 Sb 3.05-3.11, 4 Zr 3.05

Values from the calculation:
The calculation puts the formation energy from raw total energies at 0.106 eV/atom. The value obtained for the magnetization is 0.0 μB/cell.

---

The following is a PBE-GGA calculation of a relaxed LiTmScPt crystal, from Alexandria.

Cell lengths 6.7784, 6.7784, 6.7784 Å; angles 90.00, 90.00, 90.00 degrees
Last column: nearest neighbours and their distance in Å.
Space group F-43m (No. 216)
Unique sites:
Li 0.0000 0.0000 0.0000  4 Sc 2.94, 4 Tm 2.94
Tm 0.2500 0.2500 0.7500  4 Li 2.94, 4 Pt 2.94
Sc 0.2500 0.2500 0.2500  4 Li 2.94, 4 Pt 2.94
Pt 0.0000 0.0000 0.5000  4 Tm 2.94, 4 Sc 2.94

Values from the calculation:
The value obtained for the magnetization is 0.0 μB/cell. The value obtained for the formation energy is -0.72 eV per atom.

---

The following is a PBE-GGA calculation of a relaxed Cr2RuAu crystal, from Alexandria.

Cell lengths 2.9808, 4.3974, 8.8021 Å; angles 90.00, 90.00, 90.00 degrees
Last column: nearest neighbours and their distance in Å.
Space group Imm2 (No. 44)
Unique sites:
Cr 0.0000 0.0000 0.0000  2 Cr 2.42, 2 Ru 2.56, 4 Au 2.66
Cr 0.0000 0.5000 0.2834  2 Cr 2.42, 4 Ru 2.69
Ru 0.0000 0.5000 0.7364  6 Cr 2.56-2.69
Au 0.0000 0.0000 0.5176  6 Cr 2.66-2.77, 4 Ru 2.89-2.92

Values from the calculation:
The value obtained for the magnetization is 1.3 μB/cell. The value obtained for the formation energy is 0.30 eV per atom.

---

The following is a PBE-GGA calculation of a relaxed V2SiSb crystal, from Alexandria.

Cell lengths 3.8845, 3.8845, 18.2489 Å; angles 90.00, 90.00, 90.00 degrees
Last column: nearest neighbours and their distance in Å.
Space group I-42d (No. 122)
Unique sites:
V 0.2097 0.2500 0.1250  2 V 2.54, 2 Si 2.61, 2 Sb 2.72
Si 0.0000 0.0000 0.0000  4 V 2.61, 4 Sb 2.75
Sb 0.0000 0.0000 0.5000  4 V 2.72, 4 Si 2.75

Values from the calculation:
The calculation puts the formation energy from raw total energies at 0.346 eV/atom. The value obtained for the magnetization is 0.0 μB/cell.

---

The following is a PBE-GGA calculation of a relaxed Ca2AcPm crystal, from Alexandria.

Cell lengths 4.3005, 4.3005, 8.6602 Å; angles 90.00, 90.00, 90.00 degrees
Last column: nearest neighbours and their distance in Å.
Space group P4/mmm (No. 123)
Unique sites:
Ca 0.0000 0.0000 0.2336  4 Pm 3.65, 4 Ac 3.82, 1 Ca 4.05
Ac 0.5000 0.5000 0.5000  8 Ca 3.82
Pm 0.5000 0.5000 0.0000  8 Ca 3.65

Values from the calculation:
The value obtained for the magnetization is 0.0 μB/cell. The value obtained for the formation energy is 0.09 eV per atom.

---

The following is a PBE-GGA calculation of a relaxed TiP3Ru crystal, from Alexandria.

Cell lengths 4.5576, 4.5576, 4.5576 Å; angles 90.00, 90.00, 90.00 degrees
Last column: nearest neighbours and their distance in Å.
Space group Pm-3m (No. 221)
Unique sites:
Ti 0.0000 0.0000 0.0000  12 P 3.22
P 0.0000 0.5000 0.5000  2 Ru 2.28
Ru 0.5000 0.5000 0.5000  6 P 2.28

Values from the calculation:
The value obtained for the magnetization is 0.0 μB/cell. The value obtained for the formation energy is 0.64 eV per atom.

---

The following is a PBE-GGA calculation of a relaxed Ir2AuBr crystal, from Alexandria.

Cell lengths 2.8478, 3.4481, 7.7059 Å; angles 90.00, 90.38, 90.00 degrees
Last column: nearest neighbours and their distance in Å.
Space group Pm (No. 6)
Unique sites:
Ir 0.0000 0.0000 0.0000  2 Br 2.58, 6 Ir 2.63-2.85
Ir 0.4965 0.5000 0.8201  6 Ir 2.63-2.85, 4 Au 2.85
Au 0.9934 0.0000 0.5914  5 Ir 2.85-3.15, 2 Au 2.85, 2 Br 3.16
Br 0.0039 0.5000 0.2484  2 Ir 2.58, 2 Br 2.85

Values from the calculation:
The calculation puts the formation energy from raw total energies at 0.454 eV/atom. The value obtained for the magnetization is 0.0 μB/cell.

---

The following is a PBE-GGA calculation of a relaxed Mg4SnPb2 crystal, from Alexandria.

Cell lengths 7.0838, 5.7803, 9.4721 Å; angles 90.00, 109.18, 90.00 degrees
Last column: nearest neighbours and their distance in Å.
Space group P2_1/m (No. 11)
Unique sites:
Mg 0.0525 0.2500 0.4396  1 Sn 3.02, 1 Pb 3.20, 4 Mg 3.28-3.32
Mg 0.0885 0.2500 0.8402  1 Sn 2.98, 3 Pb 2.99-3.30, 2 Mg 3.13
Mg 0.4012 0.0010 0.7234  3 Mg 2.88-3.13, 1 Sn 3.07, 3 Pb 3.12-3.20
Sn 0.1942 0.2500 0.1721  4 Mg 2.98-3.07, 1 Pb 3.24
Pb 0.2883 0.7500 0.9815  6 Mg 3.16-3.30, 1 Sn 3.24
Pb 0.2966 0.7500 0.4151  6 Mg 2.99-3.20

Values from the calculation:
The value obtained for the magnetization is 0.0 μB/cell. The value obtained for the formation energy is 0.00 eV per atom.

---

The following is a PBE-GGA calculation of a relaxed CsRhW2 crystal, from Alexandria.

Cell lengths 6.6027, 6.6027, 6.6027 Å; angles 90.00, 90.00, 90.00 degrees
Last column: nearest neighbours and their distance in Å.
Space group Fm-3m (No. 225)
Unique sites:
Cs 0.0000 0.0000 0.0000  8 W 2.86
Rh 0.0000 0.0000 0.5000  8 W 2.86
W 0.2500 0.2500 0.2500  4 Rh 2.86, 4 Cs 2.86

Values from the calculation:
The value obtained for the magnetization is 0.0 μB/cell. The value obtained for the formation energy is 1.90 eV per atom.